# V2CoO6, relaxed, DFT GGA+U
# E_tot (eV per atom): -7.19
# Magnetization (Bohr magnetons per cell): 9.03
# D(E_F) (states/eV per atom): 0.000
data_V2CoO6
_symmetry_space_group_name_H-M 'P -1'
_symmetry_Int_Tables_number 2
_cell_length_a 4.8727
_cell_length_b 7.2953
_cell_length_c 8.9931
_cell_angle_alpha 102.14
_cell_angle_beta 90.04
_cell_angle_gamma 94.09
loop_
_symmetry_equiv_pos_as_xyz
'x,y,z'
'-x,-y,-z'
loop_
_atom_site_label
_atom_site_type_symbol
_atom_site_fract_x
_atom_site_fract_y
_atom_site_fract_z
_atom_site_occupancy
V1 V 0.0429 0.2884 0.0328 1
V2 V 0.0460 0.2877 0.3918 1
V3 V 0.3827 0.4183 0.7364 1
Co1 Co 0.4912 0.9870 0.8337 1
Co2 Co 0.5000 0.0000 0.5000 1
O1 O 0.1376 0.7856 0.7993 1
O2 O 0.1623 0.8304 0.1058 1
O3 O 0.1618 0.8332 0.5119 1
O4 O 0.2015 0.4716 0.5775 1
O5 O 0.2015 0.4745 0.9135 1
O6 O 0.2930 0.4706 0.2460 1
O7 O 0.3258 0.1505 0.3587 1
O8 O 0.3263 0.1532 0.0188 1
O9 O 0.3965 0.1787 0.6988 1